Entry 1:
A plane-wave DFT calculation with GGA-PBE was carried out for crystalline AlCo2Rh at its relaxed geometry.

Cell lengths 2.6704, 3.6708, 5.0783 Å; angles 90.00, 90.09, 90.00 degrees
Sites, in units of the cell vectors:
Al  0.0000  0.0000  0.0000
Co  0.5002  0.5000  0.2415
Co  0.4998  0.5000  0.7585
Rh  0.0000  0.0000  0.5000

Results
The symmetry is No. 10.

Entry 2:
A plane-wave DFT calculation with GGA-PBE was carried out for crystalline AlCo2Rh at its relaxed geometry.

Cell lengths 4.9203, 4.9203, 2.6726 Å; angles 102.08, 102.08, 119.84 degrees
Sites, in units of the cell vectors:
Al  0.0000  0.0000  0.0000
Co  0.0000  0.5000  0.5000
Co  0.5000  0.0000  0.5000
Rh  0.5000  0.5000  0.0000

Results
The symmetry is No. 12.

Entry 3:
A plane-wave DFT calculation with GGA-PBE was carried out for crystalline AlCoRh2 at its relaxed geometry.

Cell lengths 2.7608, 3.6610, 5.3183 Å; angles 90.00, 90.00, 90.00 degrees
Sites, in units of the cell vectors:
Al  0.0000  0.0000  0.0000
Co  0.5000  0.5000  0.2691
Rh  0.0000  0.0000  0.4770
Rh  0.5000  0.5000  0.7788

Results
The symmetry is No. 25.

no.,energy of formation from the pure elements (eV/f.u.)
1,-0.82
2,-0.68
3,-1.31